Record 1
The following is a DFT calculation (PBEsol) of a relaxed structure of Cu3Pt4.

It has space group R3 (No. 146, hexagonal axes), with a = 7.0915 Å, b = 7.0915 Å, c = 6.5525 Å, α = 90.00°, β = 90.00° and γ = 120.00°. The asymmetric unit holds Cu at (0.0463, 0.2356, 0.0000), Pt at (0.0000, 0.0000, 0.3268) and Pt at (0.1423, 0.7142, 0.3345).

As for the density: 16.950 g/cm3. The density of states at the Fermi level comes out at 6.218 states/eV/f.u. The calculation puts the formation energy at -102 meV/atom.


Record 2
The following is a DFT calculation (PBEsol) of a relaxed structure of Cu7Pt.

It has space group Fm-3m (No. 225), with a = 7.237 Å, b = 7.237 Å, c = 7.237 Å, α = 90.00°, β = 90.00° and γ = 90.00°. The asymmetric unit holds Cu at (0.000, 0.000, 0.000), Cu at (0.000, 0.250, 0.250) and Pt at (0.000, 0.000, 0.500).

As for the density: 11.216 g/cm3. The density of states at the Fermi level comes out at 2.294 states/eV/f.u. The calculation puts the formation energy at -73 meV/atom.


Record 3
The following is a DFT calculation (PBEsol) of a relaxed structure of Cu5Pt7.

It has space group Amm2 (No. 38), with a = 3.748 Å, b = 5.401 Å, c = 16.161 Å, α = 90.00°, β = 90.00° and γ = 90.00°. The asymmetric unit holds Cu at (0.000, 0.000, 0.000), Cu at (0.000, 0.000, 0.163), Cu at (0.000, 0.000, 0.666), Cu at (0.500, 0.249, 0.744), Pt at (0.000, 0.000, 0.320), Pt at (0.000, 0.000, 0.499), Pt at (0.000, 0.000, 0.826), Pt at (0.500, 0.246, 0.087) and Pt at (0.500, 0.248, 0.913).

As for the density: 17.088 g/cm3. The energy above the most stable polymorph in this dataset comes out at 23 meV/atom. The density of states at the Fermi level comes out at 9.444 states/eV/f.u. The calculation puts the formation energy at -80 meV/atom.


Record 4
The following is a DFT calculation (PBEsol) of a relaxed structure of Cu5Pt7.

It has space group Pm (No. 6), with a = 7.922 Å, b = 2.708 Å, c = 8.095 Å, α = 90.00°, β = 110.05° and γ = 90.00°. The asymmetric unit holds Cu at (0.000, 0.000, 0.000), Cu at (0.005, 0.000, 0.328), Cu at (0.511, 0.000, 0.167), Cu at (0.765, 0.500, 0.760), Cu at (0.774, 0.500, 0.090), Pt at (0.000, 0.000, 0.671), Pt at (0.245, 0.500, 0.245), Pt at (0.259, 0.500, 0.584), Pt at (0.262, 0.500, 0.924), Pt at (0.514, 0.000, 0.502), Pt at (0.533, 0.000, 0.853) and Pt at (0.759, 0.500, 0.404).

As for the density: 17.130 g/cm3. The energy above the most stable polymorph in this dataset comes out at 24 meV/atom. The density of states at the Fermi level comes out at 12.012 states/eV/f.u. The calculation puts the formation energy at -79 meV/atom.


Record 5
The following is a DFT calculation (PBEsol) of a relaxed structure of Cu7Pt5.

It has space group Pm (No. 6), with a = 5.245 Å, b = 3.765 Å, c = 7.888 Å, α = 90.00°, β = 91.38° and γ = 90.00°. The asymmetric unit holds Cu at (0.000, 0.000, 0.000), Cu at (0.002, 0.000, 0.331), Cu at (0.248, 0.500, 0.496), Cu at (0.503, 0.000, 0.332), Cu at (0.751, 0.500, 0.833), Cu at (0.755, 0.500, 0.166), Cu at (0.996, 0.000, 0.662), Pt at (0.237, 0.500, 0.829), Pt at (0.244, 0.500, 0.174), Pt at (0.498, 0.000, 0.660), Pt at (0.514, 0.000, 0.003) and Pt at (0.759, 0.500, 0.491).

As for the density: 15.145 g/cm3. The energy above the most stable polymorph in this dataset comes out at 10 meV/atom. The density of states at the Fermi level comes out at 7.937 states/eV/f.u. The calculation puts the formation energy at -110 meV/atom.


Record 6
The following is a DFT calculation (PBEsol) of a relaxed structure of Cu5Pt7.

It has space group C222 (No. 21), with a = 5.351 Å, b = 7.612 Å, c = 8.039 Å, α = 90.00°, β = 90.00° and γ = 90.00°. The asymmetric unit holds Cu at (0.000, 0.000, 0.000), Cu at (0.000, 0.500, 0.330), Cu at (0.250, 0.250, 0.834), Pt at (0.000, 0.000, 0.327), Pt at (0.000, 0.500, 0.000), Pt at (0.250, 0.250, 0.161) and Pt at (0.250, 0.250, 0.501).

As for the density: 17.073 g/cm3. The energy above the most stable polymorph in this dataset comes out at 10 meV/atom. The density of states at the Fermi level comes out at 12.406 states/eV/f.u. The calculation puts the formation energy at -92 meV/atom.


Record 7
The following is a DFT calculation (PBEsol) of a relaxed structure of Cu24Pt5.

It has space group I-43m (No. 217), with a = 8.852 Å, b = 8.852 Å, c = 8.852 Å, α = 90.00°, β = 90.00° and γ = 90.00°. The asymmetric unit holds Cu at (0.040, 0.362, 0.362), Cu at (0.093, 0.093, 0.284), Pt at (0.000, 0.000, 0.000) and Pt at (0.184, 0.184, 0.816).

As for the density: 11.971 g/cm3. The density of states at the Fermi level comes out at 10.120 states/eV/f.u. The calculation puts the formation energy at -34 meV/atom.


Record 8
The following is a DFT calculation (PBEsol) of a relaxed structure of Cu7Pt3.

It has space group Pmm2 (No. 25), with a = 2.656 Å, b = 3.578 Å, c = 13.226 Å, α = 90.00°, β = 90.00° and γ = 90.00°. The asymmetric unit holds Cu at (0.000, 0.000, 0.000), Cu at (0.000, 0.000, 0.186), Cu at (0.000, 0.000, 0.605), Cu at (0.000, 0.000, 0.812), Cu at (0.500, 0.500, 0.093), Cu at (0.500, 0.500, 0.281), Cu at (0.500, 0.500, 0.906), Pt at (0.000, 0.000, 0.382), Pt at (0.500, 0.500, 0.501) and Pt at (0.500, 0.500, 0.710).

As for the density: 13.610 g/cm3. The density of states at the Fermi level comes out at 6.713 states/eV/f.u. The calculation puts the formation energy at -42 meV/atom.


Record 9
The following is a DFT calculation (PBEsol) of a relaxed structure of Cu5Pt7.

It has space group P2/m (No. 10), with a = 6.034 Å, b = 3.779 Å, c = 7.514 Å, α = 90.00°, β = 107.90° and γ = 90.00°. The asymmetric unit holds Cu at (0.000, 0.000, 0.000), Cu at (0.001, 0.500, 0.762), Cu at (0.329, 0.500, 0.081), Pt at (0.000, 0.000, 0.500), Pt at (0.323, 0.000, 0.319), Pt at (0.325, 0.000, 0.844) and Pt at (0.331, 0.500, 0.586).

As for the density: 17.145 g/cm3. The energy above the most stable polymorph in this dataset comes out at 18 meV/atom. The density of states at the Fermi level comes out at 10.275 states/eV/f.u. The calculation puts the formation energy at -85 meV/atom.


Record 10
The following is a DFT calculation (PBEsol) of a relaxed structure of Cu7Pt5.

It has space group P-1 (No. 2), with a = 4.580 Å, b = 5.333 Å, c = 6.964 Å, α = 78.54°, β = 76.40° and γ = 72.79°. The asymmetric unit holds Cu at (0.000, 0.000, 0.000), Cu at (0.007, 0.164, 0.327), Cu at (0.496, 0.671, 0.840), Cu at (0.498, 0.159, 0.840), Pt at (0.000, 0.500, 0.000), Pt at (0.009, 0.674, 0.326), Pt at (0.500, 0.000, 0.500) and Pt at (0.500, 0.500, 0.500).

As for the density: 15.080 g/cm3. The energy above the most stable polymorph in this dataset comes out at 19 meV/atom. The density of states at the Fermi level comes out at 6.879 states/eV/f.u. The calculation puts the formation energy at -101 meV/atom.


Record 11
The following is a DFT calculation (PBEsol) of a relaxed structure of Cu7Pt5.

It has space group C222 (No. 21), with a = 5.250 Å, b = 7.452 Å, c = 8.025 Å, α = 90.00°, β = 90.00° and γ = 90.00°. The asymmetric unit holds Cu at (0.000, 0.000, 0.000), Cu at (0.000, 0.000, 0.338), Cu at (0.250, 0.250, 0.502), Cu at (0.250, 0.250, 0.832), Pt at (0.000, 0.500, 0.000), Pt at (0.000, 0.500, 0.336) and Pt at (0.250, 0.250, 0.170).

As for the density: 15.022 g/cm3. The energy above the most stable polymorph in this dataset comes out at 0 meV/atom. The density of states at the Fermi level comes out at 3.958 states/eV/f.u. The calculation puts the formation energy at -120 meV/atom.


Record 12
The following is a DFT calculation (PBEsol) of a relaxed structure of Cu7Pt5.

It has space group P2 (No. 3), with a = 4.541 Å, b = 7.963 Å, c = 4.602 Å, α = 90.00°, β = 109.90° and γ = 90.00°. The asymmetric unit holds Cu at (0.000, 0.000, 0.000), Cu at (0.000, 0.163, 0.500), Cu at (0.000, 0.331, 0.000), Cu at (0.000, 0.659, 0.000), Cu at (0.000, 0.827, 0.500), Cu at (0.500, 0.328, 0.500), Cu at (0.500, 0.496, 0.000), Pt at (0.000, 0.486, 0.500), Pt at (0.500, 0.000, 0.500), Pt at (0.500, 0.174, 0.000), Pt at (0.500, 0.658, 0.500) and Pt at (0.500, 0.829, 0.000).

As for the density: 15.074 g/cm3. The energy above the most stable polymorph in this dataset comes out at 1 meV/atom. The density of states at the Fermi level comes out at 4.926 states/eV/f.u. The calculation puts the formation energy at -119 meV/atom.